Entry 1:
# Ba2ScAu | the Alexandria database | PBEsol | relaxed
# calculated formation energy: 0.11 eV per atom
data_Ba2ScAu
_chemical_formula_sum 'Ba4 Sc2 Au2'
_symmetry_space_group_name_H-M 'I -4 m 2'
_symmetry_Int_Tables_number 119
_symmetry_space_group_name_Hall 'I -4 -2'
_cell_length_a 4.715
_cell_length_b 4.715
_cell_length_c 11.397
_cell_angle_alpha 90.00
_cell_angle_beta 90.00
_cell_angle_gamma 90.00
loop_
_atom_site_label
_atom_site_fract_x
_atom_site_fract_y
_atom_site_fract_z
_atom_site_occupancy
Ba1 0.000 0.000 0.000 1
Ba2 0.000 0.500 0.250 1
Sc1 0.000 0.000 0.500 1
Au1 0.000 0.500 0.750 1

Entry 2:
# BaAuSe2 | the Alexandria database | PBEsol | relaxed
# uncorrected formation energy: -0.568 eV/atom
data_BaAuSe2
_chemical_formula_sum 'Ba2 Au2 Se4'
_symmetry_space_group_name_H-M 'I 4/m m m'
_symmetry_Int_Tables_number 139
_symmetry_space_group_name_Hall '-I 4 2'
_cell_length_a 5.164
_cell_length_b 5.164
_cell_length_c 7.357
_cell_angle_alpha 90.00
_cell_angle_beta 90.00
_cell_angle_gamma 90.00
loop_
_atom_site_label
_atom_site_fract_x
_atom_site_fract_y
_atom_site_fract_z
_atom_site_occupancy
Ba1 0.000 0.000 0.000 1
Au1 0.000 0.000 0.500 1
Se1 0.000 0.500 0.250 1

Values for M_tot, μB per formula unit, ordered as above
0.5 0.0